TaAgN3 | Alexandria via LeMat-Bulk | meta-GGA SCAN | PBEsol geometry; volume = 56 Å³/cell; formation energy (no corrections) = 2.00 eV/atom
1.0
3.832 0.000 0.000
0.000 3.832 0.000
0.000 0.000 3.832
Ta Ag N
1 1 3
Direct
0.000 0.000 0.000
0.500 0.500 0.500
0.000 0.500 0.500
0.500 0.000 0.500
0.500 0.500 0.000

TaAgN3 | Alexandria via LeMat-Bulk | meta-GGA SCAN | PBEsol geometry; volume = 67 Å³/cell; formation energy (no corrections) = 0.47 eV/atom
1.0
4.062 0.000 0.000
0.000 4.062 0.000
0.000 0.000 4.062
Ta Ag N
1 1 3
Direct
0.000 0.000 0.000
0.500 0.500 0.500
0.000 0.000 0.500
0.000 0.500 0.000
0.500 0.000 0.000

ZrTc2AgN | Alexandria via LeMat-Bulk | meta-GGA SCAN | PBEsol geometry; volume = 71 Å³/cell; formation energy (no corrections) = -0.26 eV/atom
1.0
4.029 0.000 0.000
0.000 4.029 0.000
0.000 0.000 4.366
Zr Tc Ag N
1 2 1 1
Direct
0.000 0.000 0.000
0.000 0.500 0.500
0.500 0.000 0.500
0.500 0.500 0.000
0.000 0.000 0.500

AgTe2N | Alexandria via LeMat-Bulk | meta-GGA SCAN | PBEsol geometry; volume = 79 Å³/cell; formation energy (no corrections) = 0.92 eV/atom
1.0
1.608 0.928 8.837
-1.608 0.928 8.837
0.000 -1.856 8.837
Ag Te N
1 2 1
Direct
0.000 0.000 0.000
0.105 0.105 0.105
0.895 0.895 0.895
0.500 0.500 0.500

Ag3TeN | Alexandria via LeMat-Bulk | meta-GGA SCAN | PBEsol geometry; volume = 140 Å³/cell; formation energy (no corrections) = 1.30 eV/atom
1.0
5.197 0.000 0.000
0.000 5.197 0.000
0.000 0.000 5.197
Ag Te N
3 1 1
Direct
0.000 0.000 0.500
0.000 0.500 0.000
0.500 0.000 0.000
0.000 0.000 0.000
0.500 0.500 0.500

AgTeN3 | Alexandria via LeMat-Bulk | meta-GGA SCAN | PBEsol geometry; volume = 63 Å³/cell; formation energy (no corrections) = 2.31 eV/atom
1.0
3.987 0.000 0.000
0.000 3.987 0.000
0.000 0.000 3.987
Ag Te N
1 1 3
Direct
0.000 0.000 0.000
0.500 0.500 0.500
0.000 0.000 0.500
0.000 0.500 0.000
0.500 0.000 0.000

Ti3AgN | Alexandria via LeMat-Bulk | meta-GGA SCAN | PBEsol geometry; volume = 69 Å³/cell; formation energy (no corrections) = -0.92 eV/atom
1.0
4.103 0.000 0.000
0.000 4.103 0.000
0.000 0.000 4.103
Ti Ag N
3 1 1
Direct
0.000 0.000 0.500
0.000 0.500 0.000
0.500 0.000 0.000
0.500 0.500 0.500
0.000 0.000 0.000

YTiAg2N | Alexandria via LeMat-Bulk | meta-GGA SCAN | PBEsol geometry; volume = 86 Å³/cell; formation energy (no corrections) = -0.06 eV/atom
1.0
4.653 0.000 0.000
0.000 4.653 0.000
0.000 0.000 3.984
Y Ti Ag N
1 1 2 1
Direct
0.000 0.000 0.000
0.500 0.500 0.000
0.000 0.500 0.500
0.500 0.000 0.500
0.500 0.500 0.500